Record 1
ZnCu2Si, relaxed, DFT PBEsol; raw formation energy = 0.01 eV per atom; SG = Cm, No. 8
1.0
-0.461 -2.147 -1.526
1.156 -2.604 3.314
-3.947 1.345 1.644
Cu Zn Si
2 1 1
direct
0.250 0.740 0.500
0.998 0.004 0.996
0.747 0.235 0.494
0.505 0.521 0.010

Record 2
BaSr, relaxed, DFT PBEsol; SG = Pmmn, No. 59; calculated formation energy = 1 kJ/mol of atoms
1.0
4.255 0.000 0.000
0.000 6.981 0.000
0.000 0.000 7.378
Sr Ba
2 2
direct
0.500 0.000 0.082
0.000 0.500 0.918
0.500 0.500 0.416
0.000 0.000 0.584

Record 3
TeOsSCl2, relaxed, DFT PBEsol; raw formation energy = 1.48 eV per atom; SG = P4/mmm, No. 123
1.0
5.051 0.000 0.000
0.000 5.214 0.000
0.000 0.000 5.214
Cl S Te Os
2 1 1 1
direct
0.000 0.500 0.000
0.000 0.000 0.500
0.500 0.000 0.000
0.000 0.000 0.000
0.500 0.500 0.500

Record 4
AlTc2Ag, relaxed, DFT PBEsol; SG = Cmm2, No. 35; calculated formation energy = 14 kJ/mol of atoms
1.0
2.704 0.003 0.000
-1.131 2.456 0.000
0.000 0.000 8.945
Tc Ag Al
2 1 1
direct
0.000 0.000 0.000
0.500 0.500 0.767
0.000 0.000 0.492
0.500 0.500 0.240

Record 5
Cd2NiAg, relaxed, DFT PBEsol; SG = I4/mmm, No. 139; calculated formation energy = 3 kJ/mol of atoms
1.0
-1.387 -0.168 4.026
4.644 -0.036 -0.657
2.107 3.599 0.876
Cd Ag Ni
2 1 1
direct
0.750 0.500 0.750
0.250 0.500 0.250
0.000 0.000 0.000
0.500 0.000 0.500

Record 6
PIO2, relaxed, DFT PBEsol; raw formation energy = -0.45 eV per atom; SG = R-3m, No. 166
1.0
3.250 0.000 0.000
1.625 2.815 0.000
1.625 0.938 9.229
I O P
1 2 1
direct
0.500 0.500 0.500
0.947 0.947 0.160
0.053 0.053 0.840
0.000 0.000 0.000

Record 7
ScFeTeI2, relaxed, DFT PBEsol; raw formation energy = 0.23 eV per atom; SG = P4/mmm, No. 123
1.0
-2.151 2.990 4.155
-5.023 -2.101 -1.089
0.996 -4.225 3.557
Te Fe I Sc
1 1 2 1
direct
0.000 0.000 0.500
0.500 0.500 0.500
0.500 0.000 0.000
0.000 0.500 0.000
0.000 0.000 0.000

Record 8
TlPtSe, relaxed, DFT PBEsol; raw formation energy = -0.02 eV per atom; SG = F-43m, No. 216
1.0
-4.209 1.409 -0.876
-3.413 -1.258 2.691
-1.980 3.033 2.711
Se Pt Tl
1 1 1
direct
0.000 0.000 0.000
0.250 0.250 0.250
0.500 0.500 0.500

Record 9
ScMn2Fe, relaxed, DFT PBEsol; SG = P4/mmm, No. 123; calculated formation energy = 28 kJ/mol of atoms
1.0
3.661 0.000 0.000
0.000 3.813 0.000
0.000 0.000 3.813
Fe Sc Mn
1 1 2
direct
0.500 0.000 0.000
0.500 0.500 0.500
0.000 0.000 0.500
0.000 0.500 0.000

Record 10
CuAgPt2, relaxed, DFT PBEsol; SG = R3m, No. 160; calculated formation energy = -2 kJ/mol of atoms
1.0
-1.064 1.351 -2.124
1.165 -0.193 -2.465
-5.150 -6.676 -3.425
Ag Pt Cu
1 2 1
direct
0.496 0.496 0.513
0.005 0.005 0.985
0.250 0.250 0.249
0.749 0.749 0.753

Record 11
MgInHg, relaxed, DFT PBEsol; SG = F-43m, No. 216; calculated formation energy = -17 kJ/mol of atoms
1.0
4.684 0.000 0.000
2.342 4.057 0.000
2.342 1.352 3.825
Hg Mg In
1 1 1
direct
0.250 0.250 0.250
0.500 0.500 0.500
0.000 0.000 0.000

Record 12
AlAsRh, relaxed, DFT PBEsol; SG = P3m1, No. 156; calculated formation energy = -38 kJ/mol of atoms
1.0
-1.084 2.549 -1.277
-1.740 -2.502 0.125
-2.049 1.679 5.088
As Rh Al
1 1 1
direct
0.333 0.667 0.646
0.667 0.333 0.336
0.000 0.000 0.018

Record 13
Ag5C, relaxed, DFT PBEsol; SG = P6/mmm, No. 191; calculated formation energy = 129 kJ/mol of atoms
1.0
-1.516 4.357 -0.927
-4.936 -1.627 0.421
2.528 1.773 4.201
Ag C
5 1
direct
0.500 0.500 0.000
0.500 0.500 0.500
0.500 0.000 0.500
0.000 0.333 0.667
0.000 0.667 0.333
0.000 0.000 0.000

Record 14
TcHgRh2, relaxed, DFT PBEsol; SG = Cm, No. 8; calculated formation energy = 20 kJ/mol of atoms
1.0
-0.407 2.177 -1.685
-4.547 -1.326 -0.615
-0.214 1.654 4.488
Rh Tc Hg
2 1 1
direct
0.994 0.998 0.988
0.247 0.728 0.494
0.509 0.538 0.018
0.750 0.237 0.500

Record 15
NaSc2Ru, relaxed, DFT PBEsol; SG = R-3m, No. 166; calculated formation energy = 42 kJ/mol of atoms
1.0
-0.439 -2.844 -0.990
0.100 -2.326 1.960
-10.675 -0.702 2.072
Sc Ru Na
2 1 1
direct
0.071 0.071 0.786
0.929 0.929 0.214
0.000 0.000 0.000
0.500 0.500 0.500

Record 16
PbAuN3, relaxed, DFT PBEsol; raw formation energy = 2.47 eV per atom; SG = Pm-3m, No. 221
1.0
-3.709 -0.232 2.206
-0.590 -4.040 -1.417
2.138 -1.517 3.436
Au N Pb
1 3 1
direct
0.500 0.500 0.500
0.500 0.000 0.000
0.000 0.500 0.000
0.000 0.000 0.500
0.000 0.000 0.000

Record 17
Ta5AuS, relaxed, DFT PBEsol; raw formation energy = -0.37 eV per atom; SG = F-43m, No. 216
1.0
-2.475 2.068 8.203
-7.343 -3.495 3.401
0.546 -6.018 6.418
Ta S Au
20 4 4
direct
0.004 0.332 0.332
0.332 0.332 0.332
0.972 0.972 0.528
0.972 0.528 0.972
0.303 0.697 0.303
0.303 0.697 0.697
0.528 0.972 0.528
0.303 0.303 0.697
0.972 0.528 0.528
0.528 0.528 0.972
0.528 0.972 0.972
0.332 0.004 0.332
0.332 0.332 0.004
0.117 0.117 0.117
0.697 0.303 0.697
0.697 0.303 0.303
0.697 0.697 0.303
0.649 0.117 0.117
0.117 0.117 0.649
0.117 0.649 0.117
0.631 0.631 0.107
0.631 0.631 0.631
0.107 0.631 0.631
0.631 0.107 0.631
0.899 0.899 0.899
0.303 0.899 0.899
0.899 0.899 0.303
0.899 0.303 0.899

Record 18
Zn2CrCl, relaxed, DFT PBEsol; raw formation energy = 0.14 eV per atom; SG = P4mm, No. 99
1.0
3.018 0.000 0.000
0.000 3.018 0.000
0.000 0.000 7.494
Cr Zn Cl
1 2 1
direct
0.500 0.500 0.759
0.500 0.500 0.189
0.000 0.000 0.992
0.000 0.000 0.560

Record 19
AgP2IrCl, relaxed, DFT PBEsol; raw formation energy = 0.56 eV per atom; SG = P4/mmm, No. 123
1.0
-0.237 -4.402 0.769
3.348 -0.685 -2.889
3.417 0.488 3.845
Ag Ir Cl P
1 1 1 2
direct
0.500 0.500 0.500
0.000 0.000 0.000
0.000 0.000 0.500
0.000 0.500 0.000
0.500 0.000 0.000

Record 20
Hg2PbBr, relaxed, DFT PBEsol; raw formation energy = -0.14 eV per atom; SG = I-4m2, No. 119
1.0
-1.757 -4.258 0.839
1.005 0.481 4.547
-3.955 3.824 -1.941
Pb Br Hg
1 1 2
direct
0.500 0.500 0.000
0.250 0.750 0.500
0.750 0.250 0.500
0.000 0.000 0.000

Looking at V for the records above, in order, we have 49.5, 109.6, 137.3, 59.4, 65.3, 84.4, 173.0, 65.5, 53.2, 58.0, 72.7, 46.2, 110.8, 59.9, 86.3, 80.7, 121.1, 68.2, 103.5, 105.3 Å³/f.u..
Looking at Fermi-level density of states for the records above, in order, we have 1.0, 2.9, 5.8, 2.9, 1.9, 1.9, 8.5, 2.0, 5.4, 2.7, 1.0, 1.3, 3.8, 3.7, 3.2, 2.1, 3.6, 3.0, 2.5, 1.4 states/eV/f.u..